1.
First-principles (GGA-PBE) data for a geometry-optimized SrLi9Pd3 structure, as listed in Alexandria. Values from VASP.

Computed properties:
Space group: C2/m
Formation energy: -0.2829 eV per atom

Structure (Quantum ESPRESSO input):
```
&SYSTEM
  ibrav = 0, nat = 13, ntyp = 3
/
ATOMIC_SPECIES
Li 6.94 Li.upf
Pd 106.42 Pd.upf
Sr 87.62 Sr.upf
CELL_PARAMETERS angstrom
-5.294 0.247 1.612
-2.163 -5.588 4.017
-0.875 3.276 6.145
ATOMIC_POSITIONS crystal
Li 0.624 0.337 0.360
Pd 0.500 0.000 0.500
Pd 0.000 0.000 0.500
Sr 0.000 0.000 0.000
Pd 0.500 0.500 0.000
Li 0.984 0.337 0.640
Li 0.280 0.221 0.235
Li 0.016 0.663 0.360
Li 0.515 0.221 0.765
Li 0.000 0.500 0.000
Li 0.720 0.779 0.765
Li 0.376 0.663 0.640
Li 0.485 0.779 0.235
```

=====

2.
First-principles (GGA-PBE) data for a geometry-optimized In3ReSe structure, as listed in Alexandria. Values from VASP.

Computed properties:
Formation energy (no corrections): 1.41 eV per atom
Space group: Pm-3m

Structure (Quantum ESPRESSO input):
```
&SYSTEM
  ibrav = 0, nat = 5, ntyp = 3
/
ATOMIC_SPECIES
In 114.82 In.upf
Re 186.21 Re.upf
Se 78.96 Se.upf
CELL_PARAMETERS angstrom
5.355 0.000 0.000
0.000 5.355 0.000
0.000 0.000 5.355
ATOMIC_POSITIONS crystal
In 0.000 0.000 0.500
Re 0.500 0.500 0.500
Se 0.000 0.000 0.000
In 0.500 0.000 0.000
In 0.000 0.500 0.000
```

=====

3.
First-principles (GGA-PBE) data for a geometry-optimized Nb2NiRh structure, as listed in Alexandria. Values from VASP.

Computed properties:
Space group: R-3m
Formation energy: 0.2600 eV per atom

Structure (Quantum ESPRESSO input):
```
&SYSTEM
  ibrav = 0, nat = 4, ntyp = 3
/
ATOMIC_SPECIES
Nb 92.91 Nb.upf
Ni 58.69 Ni.upf
Rh 102.91 Rh.upf
CELL_PARAMETERS angstrom
-0.720 -2.674 -0.381
1.974 -1.975 -0.121
-0.190 -2.742 9.340
ATOMIC_POSITIONS crystal
Nb 0.914 0.914 0.259
Ni 0.000 0.000 0.000
Rh 0.500 0.500 0.500
Nb 0.086 0.086 0.741
```

=====

4.
First-principles (GGA-PBE) data for a geometry-optimized V2BW structure, as listed in Alexandria. Values from VASP.

Computed properties:
Space group: P4/mmm
Formation energy: -0.0708 eV per atom

Structure (Quantum ESPRESSO input):
```
&SYSTEM
  ibrav = 0, nat = 4, ntyp = 3
/
ATOMIC_SPECIES
V 50.94 V.upf
B 10.81 B.upf
W 183.84 W.upf
CELL_PARAMETERS angstrom
3.027 0.000 0.000
0.000 3.027 0.000
0.000 0.000 5.314
ATOMIC_POSITIONS crystal
V 0.000 0.000 0.209
B 0.500 0.500 0.000
W 0.500 0.500 0.500
V 0.000 0.000 0.791
```

=====

5.
First-principles (GGA-PBE) data for a geometry-optimized H7Pd2Pt3 structure, as listed in Alexandria. Values from VASP.

Computed properties:
Space group: Cmc2_1

Structure (Quantum ESPRESSO input):
```
&SYSTEM
  ibrav = 0, nat = 24, ntyp = 3
/
ATOMIC_SPECIES
H 1.01 H.upf
Pd 106.42 Pd.upf
Pt 195.08 Pt.upf
CELL_PARAMETERS angstrom
4.697 0.000 0.000
0.000 4.302 -1.217
0.000 0.549 10.156
ATOMIC_POSITIONS crystal
H 0.001 0.056 0.119
Pd 0.257 0.805 0.196
Pt 0.261 0.002 0.617
H 0.510 0.362 0.687
H 0.510 0.675 0.313
H 0.495 0.506 0.000
H 0.108 0.114 0.468
Pd 0.257 0.609 0.804
H 0.108 0.646 0.532
H 0.501 0.944 0.881
Pt 0.761 0.615 0.617
Pt 0.261 0.385 0.383
H 0.001 0.938 0.881
Pt 0.252 0.207 0.000
H 0.010 0.638 0.313
Pd 0.757 0.391 0.196
H 0.608 0.886 0.532
H 0.995 0.494 0.000
H 0.608 0.354 0.468
Pd 0.757 0.195 0.804
H 0.501 0.062 0.119
H 0.010 0.325 0.687
Pt 0.761 0.998 0.383
Pt 0.752 0.793 0.000
```

=====

6.
First-principles (GGA-PBE) data for a geometry-optimized Hf12Co6Sb structure, as listed in Alexandria. Values from VASP.

Computed properties:
Formation energy (no corrections): -0.28 eV per atom
Space group: Im-3

Structure (Quantum ESPRESSO input):
```
&SYSTEM
  ibrav = 0, nat = 19, ntyp = 3
/
ATOMIC_SPECIES
Hf 178.49 Hf.upf
Co 58.93 Co.upf
Sb 121.76 Sb.upf
CELL_PARAMETERS angstrom
-7.058 -1.274 -2.879
3.660 -6.743 0.926
-0.609 3.560 6.832
ATOMIC_POSITIONS crystal
Hf 0.486 0.186 0.300
Hf 0.186 0.300 0.486
Hf 0.114 0.814 0.300
Co 0.364 0.500 0.864
Co 0.500 0.136 0.636
Hf 0.700 0.886 0.186
Co 0.864 0.364 0.500
Sb 0.000 0.000 0.000
Co 0.636 0.500 0.136
Hf 0.700 0.514 0.814
Hf 0.814 0.700 0.514
Hf 0.814 0.300 0.114
Hf 0.186 0.700 0.886
Hf 0.514 0.814 0.700
Co 0.500 0.864 0.364
Hf 0.300 0.114 0.814
Co 0.136 0.636 0.500
Hf 0.886 0.186 0.700
Hf 0.300 0.486 0.186
```

=====

These records have density of states at the Fermi level values of 4.250 4.587 5.092 2.572 2.833 21.639 states/eV/f.u., in the order they appear.
These records have total moment values of 0.00 0.70 0.00 0.00 0.00 0.00 μB/atom, in the order they appear.
These records have total DFT energy (no corrections) values of -0.1079 -0.1256 -0.2961 -0.3505 -0.1570 -0.3316 Ha/atom, in the order they appear.